1.
## CdSiIr2 (GGA-PBE)

Data for an optimized crystal structure of CdSiIr2.

Properties
* magnetization: 0.00 μB/cell
* density of states at the Fermi level: 0.453 states/eV/atom
* volume: 61 Å³/cell
* uncorrected formation energy: -355 meV/atom
* total DFT energy (no corrections): -0.234 Ha/atom

Cell: 2.9198 2.9198 7.1177 Å, 90.00 90.00 90.00°
Closest atoms and distances in Å follow each position.
Fractional positions:
Cd 0.0000 0.0000 0.0000  4 Cd 2.92, 8 Ir 2.97
Si 0.0000 0.0000 0.5000  8 Ir 2.51
Ir 0.5000 0.5000 0.3001  4 Si 2.51
Ir 0.5000 0.5000 0.6999  4 Si 2.51



2.
## Cd2SiIr (GGA-PBE)

Data for an optimized crystal structure of Cd2SiIr.

Properties
* magnetization: 0.00 μB/cell
* density of states at the Fermi level: 0.465 states/eV/atom
* volume: 68 Å³/cell
* uncorrected formation energy: 196 meV/atom
* total DFT energy (no corrections): -0.141 Ha/atom

Cell: 5.2197 5.2121 3.9335 Å, 67.95 67.75 44.30°
Closest atoms and distances in Å follow each position.
Fractional positions:
Cd 0.2500 0.2500 0.2500  4 Cd 2.77-2.79, 4 Ir 2.96, 4 Si 2.96
Cd 0.7500 0.7500 0.7500  4 Cd 2.77-2.79, 4 Ir 2.96, 4 Si 2.96
Si 0.0000 0.0000 0.0000  4 Ir 2.77-2.79, 8 Cd 2.96
Ir 0.5000 0.5000 0.5000  4 Si 2.77-2.79, 8 Cd 2.96



3.
## Cd2SiIr (GGA-PBE)

Data for an optimized crystal structure of Cd2SiIr.

Properties
* magnetization: 0.00 μB/cell
* density of states at the Fermi level: 0.435 states/eV/atom
* volume: 84 Å³/cell
* uncorrected formation energy: -118 meV/atom
* total DFT energy (no corrections): -0.152 Ha/atom

Cell: 4.4488 4.4488 7.2839 Å, 108.21 108.21 38.32°
Closest atoms and distances in Å follow each position.
Fractional positions:
Cd 0.0000 0.0000 0.0000  2 Ir 2.84, 4 Cd 2.92-3.05
Cd 0.2098 0.2098 0.7015  2 Ir 2.83, 4 Cd 2.92-3.05
Si 0.8482 0.8482 0.3519  3 Ir 2.35-2.37
Ir 0.5668 0.5668 0.3520  3 Si 2.35-2.37



4.
## Cd2SiIr (GGA-PBE)

Data for an optimized crystal structure of Cd2SiIr.

Properties
* magnetization: 0.00 μB/cell
* density of states at the Fermi level: 0.723 states/eV/atom
* volume: 73 Å³/cell
* uncorrected formation energy: 407 meV/atom
* total DFT energy (no corrections): -0.133 Ha/atom

Cell: 2.8513 2.8513 10.1085 Å, 90.00 90.00 117.54°
Closest atoms and distances in Å follow each position.
Fractional positions:
Cd 0.0000 0.0000 0.2352  2 Ir 2.80, 6 Cd 2.85-2.96, 2 Si 3.06
Cd 0.0000 0.0000 0.7648  2 Ir 2.80, 6 Cd 2.85-2.96, 2 Si 3.06
Si 0.5000 0.5000 0.5000  6 Si 2.85-2.96, 4 Cd 3.06
Ir 0.5000 0.5000 0.0000  4 Cd 2.80, 6 Ir 2.85-2.96